# Ba2AlTlNi2O7 | Alexandria via LeMat-Bulk | PBE with a Hubbard U | optimized geometry
data_Ba2AlTlNi2O7
_chemical_formula_sum 'Ba2 Al1 Tl1 Ni2 O7'
_symmetry_space_group_name_H-M 'P 4/m m m'
_symmetry_Int_Tables_number 123
_symmetry_space_group_name_Hall '-P 4 2'
_cell_length_a 3.683
_cell_length_b 3.683
_cell_length_c 13.086
_cell_angle_alpha 90.00
_cell_angle_beta 90.00
_cell_angle_gamma 90.00
loop_
_atom_site_label
_atom_site_fract_x
_atom_site_fract_y
_atom_site_fract_z
_atom_site_occupancy
Ba1 0.000 0.000 0.213 1
Al1 0.000 0.000 0.500 1
Tl1 0.500 0.500 0.000 1
Ni1 0.500 0.500 0.386 1
O1 0.000 0.000 0.000 1
O2 0.000 0.500 0.405 1
O3 0.500 0.500 0.163 1
# Size of the total moment (μB per formula unit): 0.000
# Final energy (eV/cell): -69.5